(1)
# Ho6Mn2Cd

An optimized crystal structure of Ho6Mn2Cd (PBE, Alexandria).

Values from the calculation:
Energy of formation (eV per atom): -0.0318
Crystal system: orthorhombic
Symmetry: Immm, No. 71
Total magnetization (μB per cell): 3.48

Geometry as POSCAR:
```
Ho6Mn2Cd
1.0
7.889 0.099 -2.807
-4.147 6.838 -2.483
-0.020 -0.099 8.373
Ho Mn Cd
12 4 2
direct
0.524 0.714 0.811
0.476 0.286 0.189
0.097 0.286 0.811
0.903 0.714 0.189
0.781 0.772 0.553
0.219 0.228 0.447
0.219 0.772 0.990
0.781 0.228 0.010
0.709 0.397 0.688
0.291 0.603 0.312
0.291 0.979 0.688
0.709 0.021 0.312
0.500 0.395 0.895
0.500 0.605 0.105
0.611 0.000 0.611
0.389 0.000 0.389
0.000 0.500 0.500
0.000 0.000 0.000
```

(2)
# NdHoMnCd

An optimized crystal structure of NdHoMnCd (PBE, Alexandria).

Values from the calculation:
Energy of formation (eV per atom): 0.0050
Crystal system: cubic
Symmetry: F-43m, No. 216
Total magnetization (μB per cell): 3.22

Geometry as POSCAR:
```
NdHoMnCd
1.0
5.238 0.000 0.000
2.619 4.536 0.000
2.619 1.512 4.277
Mn Nd Ho Cd
1 1 1 1
direct
0.250 0.250 0.250
0.000 0.000 0.000
0.500 0.500 0.500
0.750 0.750 0.750
```

(3)
# SmHoMnCd

An optimized crystal structure of SmHoMnCd (PBE, Alexandria).

Values from the calculation:
Energy of formation (eV per atom): -0.0040
Crystal system: cubic
Symmetry: F-43m, No. 216
Total magnetization (μB per cell): 3.16

Geometry as POSCAR:
```
SmHoMnCd
1.0
-0.128 5.199 -0.112
-3.702 2.567 2.601
1.226 2.724 4.259
Mn Ho Sm Cd
1 1 1 1
direct
0.750 0.750 0.750
0.500 0.500 0.500
0.000 0.000 0.000
0.250 0.250 0.250
```

(4)
# HoThMnCd

An optimized crystal structure of HoThMnCd (PBE, Alexandria).

Values from the calculation:
Energy of formation (eV per atom): 0.0679
Crystal system: cubic
Symmetry: F-43m, No. 216
Total magnetization (μB per cell): 2.67

Geometry as POSCAR:
```
HoThMnCd
1.0
5.212 0.000 0.000
2.606 4.514 0.000
2.606 1.505 4.256
Mn Ho Th Cd
1 1 1 1
direct
0.250 0.250 0.250
0.500 0.500 0.500
0.000 0.000 0.000
0.750 0.750 0.750
```

(5)
# Ho2CdMo

An optimized crystal structure of Ho2CdMo (PBE, Alexandria).

Values from the calculation:
Energy of formation (eV per atom): 0.0435
Crystal system: tetragonal
Symmetry: P4/mmm, No. 123
Total magnetization (μB per cell): 0.00

Geometry as POSCAR:
```
Ho2CdMo
1.0
3.532 0.000 0.000
0.000 3.532 0.000
0.000 0.000 7.602
Mo Ho Cd
1 2 1
direct
0.500 0.500 0.000
0.000 0.000 0.779
0.000 0.000 0.221
0.500 0.500 0.500
```

Q: The lowest energy of formation belongs to which entry?
A: Ho6Mn2Cd

What did the third record say?
# SmHoMnCd

An optimized crystal structure of SmHoMnCd (PBE, Alexandria).

Values from the calculation:
Energy of formation (eV per atom): -0.0040
Crystal system: cubic
Symmetry: F-43m, No. 216
Total magnetization (μB per cell): 3.16

Geometry as POSCAR:
```
SmHoMnCd
1.0
-0.128 5.199 -0.112
-3.702 2.567 2.601
1.226 2.724 4.259
Mn Ho Sm Cd
1 1 1 1
direct
0.750 0.750 0.750
0.500 0.500 0.500
0.000 0.000 0.000
0.250 0.250 0.250
```

Q: Among the records above, which one has the highest energy of formation?
A: HoThMnCd

Q: Among the records above, which one has the lowest energy of formation?
A: Ho6Mn2Cd